Entry 1:
The following is a DFT calculation (PBE-GGA) of RuBr after structural relaxation.

Cell and atoms, written as extended XYZ:
```
2
Lattice="3.992 0.000 0.000 1.996 3.458 0.000 1.996 1.153 3.260" Properties=species:S:1:pos:R:3 pbc="T T T"
Ru 5.989 3.458 2.445
Br 0.000 0.000 0.000
```

Values from the calculation:
Magnetic moment, μB per formula unit: 0.000
Energy above the lowest structure with this stoichiometry, eV per atom: 0.798


Entry 2:
The following is a DFT calculation (PBE-GGA) of Ru2Br after structural relaxation.

Cell and atoms, written as extended XYZ:
```
6
Lattice="-1.472 1.472 11.807 1.472 -1.472 11.807 1.472 1.472 -11.807" Properties=species:S:1:pos:R:3 pbc="T T T"
Br 0.000 0.000 0.000
Ru 0.000 0.000 9.834
Ru 1.472 0.000 7.876
Br 0.000 1.472 5.903
Ru 1.472 0.000 3.931
Ru 0.000 0.000 13.779
```

Values from the calculation:
Magnetic moment, μB per formula unit: 0.000
Energy above the lowest structure with this stoichiometry, eV per atom: 0.718


Entry 3:
The following is a DFT calculation (PBE-GGA) of Ru3Br2 after structural relaxation.

Cell and atoms, written as extended XYZ:
```
5
Lattice="2.126 -3.683 0.000 2.126 3.683 0.000 0.000 0.000 5.379" Properties=species:S:1:pos:R:3 pbc="T T T"
Br 2.126 1.228 4.283
Ru 2.126 -1.228 3.539
Ru 0.000 0.000 0.000
Br 2.126 -1.228 1.096
Ru 2.126 1.228 1.840
```

Values from the calculation:
Magnetic moment, μB per formula unit: 0.000


Entry 4:
The following is a DFT calculation (PBE-GGA) of Ru2Br after structural relaxation.

Cell and atoms, written as extended XYZ:
```
6
Lattice="1.992 -3.450 0.000 1.992 3.450 0.000 0.000 0.000 7.537" Properties=species:S:1:pos:R:3 pbc="T T T"
Br 0.000 0.000 5.653
Br 0.000 0.000 1.884
Ru 1.992 -1.150 0.529
Ru 1.992 -1.150 3.240
Ru 1.992 1.150 4.297
Ru 1.992 1.150 7.009
```

Values from the calculation:
Magnetic moment, μB per formula unit: 0.000
Energy above the lowest structure with this stoichiometry, eV per atom: 0.420


Entry 5:
The following is a DFT calculation (PBE-GGA) of Ru6Br7 after structural relaxation.

Cell and atoms, written as extended XYZ:
```
13
Lattice="-2.128 6.994 -5.003 -3.954 -4.546 -6.494 -8.285 0.924 2.996" Properties=species:S:1:pos:R:3 pbc="T T T"
Ru -13.471 3.162 -7.970
Br -4.702 -0.954 -1.596
Br -4.123 2.702 -1.124
Ru -11.539 2.708 -6.827
Ru -2.828 0.664 -1.673
Ru -5.064 1.189 -2.996
Ru -0.896 0.210 -0.530
Br -9.664 4.326 -6.904
Ru -9.303 2.183 -5.504
Br -2.751 0.969 -4.130
Br -10.243 0.670 -7.377
Br -7.183 1.686 -4.250
Br -11.615 2.403 -4.370
```

Values from the calculation:
Magnetic moment, μB per formula unit: 0.984


Entry 6:
The following is a DFT calculation (PBE-GGA) of RuBr after structural relaxation.

Cell and atoms, written as extended XYZ:
```
12
Lattice="6.959 0.000 0.000 0.000 6.959 0.000 0.000 0.000 6.959" Properties=species:S:1:pos:R:3 pbc="T T T"
Br 0.000 3.480 1.740
Ru 5.219 3.480 0.000
Ru 3.480 0.000 1.740
Br 0.000 3.480 5.219
Br 1.740 0.000 3.480
Br 3.480 5.219 0.000
Ru 3.480 0.000 5.219
Br 5.219 0.000 3.480
Ru 1.740 3.480 0.000
Br 3.480 1.740 0.000
Ru 0.000 1.740 3.480
Ru 0.000 5.219 3.480
```

Values from the calculation:
Magnetic moment, μB per formula unit: 0.001
Energy above the lowest structure with this stoichiometry, eV per atom: 0.968


Formation energy without anion corrections per entry: 195; 310; 574; 224; 1222; 227 kJ/mol of formula units
Raw total energy per entry: -4.4661; -5.6709; -5.0452; -5.9689; -4.2076; -4.2965 eV per atom